Entry 1:
Here is a relaxed structure of ZrTaO3 from Alexandria. Energies are from PBE-GGA.

```
ZrTaO3
1.0
-2.553 2.625 -1.567
-3.057 -2.156 1.368
0.053 2.079 3.396
O Zr Ta
3 1 1
direct
0.500 0.000 0.000
0.000 0.000 0.500
0.000 0.500 0.000
0.500 0.500 0.500
0.000 0.000 0.000
```

Output
space group = No. 221
formation energy from raw total energies = -1.877 eV per atom

***

Entry 2:
Here is a relaxed structure of Y3MgGa from Alexandria. Energies are from PBE-GGA.

```
Y3MgGa
1.0
4.999 0.000 1.142
0.000 5.120 0.000
0.246 0.000 10.432
Ga Y Mg
2 6 2
direct
0.163 0.250 0.322
0.485 0.750 0.678
0.391 0.250 0.867
0.258 0.750 0.133
0.761 0.250 0.126
0.073 0.750 0.502
0.575 0.250 0.498
0.887 0.750 0.874
0.982 0.250 0.685
0.667 0.750 0.315
```

Output
space group = No. 63
formation energy from the elements = -283 meV/atom

***

Entry 3:
Here is a relaxed structure of AcTb6Nd3 from Alexandria. Energies are from PBE-GGA.

```
AcTb6Nd3
1.0
9.086 0.000 0.000
0.000 9.161 -1.102
0.000 -3.118 8.684
Nd Tb Ac
6 12 2
direct
0.992 0.697 0.819
0.492 0.303 0.181
0.816 0.548 0.452
0.992 0.181 0.303
0.492 0.819 0.697
0.316 0.452 0.548
0.664 0.530 0.819
0.164 0.819 0.530
0.181 0.051 0.949
0.451 0.216 0.784
0.324 0.029 0.322
0.951 0.784 0.216
0.681 0.949 0.051
0.664 0.181 0.470
0.824 0.971 0.678
0.164 0.470 0.181
0.324 0.678 0.971
0.824 0.322 0.029
0.579 0.723 0.277
0.079 0.277 0.723
```

Output
space group = No. 36
formation energy from the elements = 134 meV/atom

***

Entry 4:
Here is a relaxed structure of CeBe3Si3 from Alexandria. Energies are from PBE-GGA.

```
CeBe3Si3
1.0
6.115 0.000 0.000
0.000 6.115 0.000
0.000 0.000 6.115
Si Be Ce
6 6 2
direct
0.750 0.500 0.000
0.500 0.000 0.250
0.500 0.000 0.750
0.250 0.500 0.000
0.000 0.250 0.500
0.000 0.750 0.500
0.250 0.000 0.500
0.750 0.000 0.500
0.000 0.500 0.250
0.000 0.500 0.750
0.500 0.250 0.000
0.500 0.750 0.000
0.500 0.500 0.500
0.000 0.000 0.000
```

Output
space group = No. 223
formation energy from raw total energies = 0.094 eV per atom

***

DOS at the Fermi energy (computed, states/eV per atom): 0.746; 0.920; 1.310; 0.730